Entry from the Alexandria database: crystalline Ho3Zn2Ir at its relaxed geometry (PBE).

```
data_Ho3Zn2Ir
_chemical_formula_sum 'Ho3 Zn2 Ir1'
_symmetry_space_group_name_H-M 'P 1'
_symmetry_Int_Tables_number 1
_cell_length_a 3.519
_cell_length_b 3.519
_cell_length_c 10.483
_cell_angle_alpha 90.00
_cell_angle_beta 90.00
_cell_angle_gamma 90.00
loop_
_symmetry_equiv_pos_as_xyz
'x,y,z'
loop_
_atom_site_label
_atom_site_type_symbol
_atom_site_fract_x
_atom_site_fract_y
_atom_site_fract_z
_atom_site_occupancy
Ho1 Ho 0.000 0.000 0.000 1
Ho2 Ho 0.000 0.000 0.653 1
Ho3 Ho 0.000 0.000 0.347 1
Zn1 Zn 0.500 0.500 0.832 1
Zn2 Zn 0.500 0.500 0.168 1
Ir1 Ir 0.500 0.500 0.500 1
```

Distance to the lowest polymorph of the same formula: 0.023 eV/atom
Calculated volume: 21.6 A^3/atom


Entry from the Alexandria database: crystalline CaPaF5 at its relaxed geometry (PBE).

```
data_CaPaF5
_chemical_formula_sum 'Ca2 Pa2 F10'
_symmetry_space_group_name_H-M 'P 1'
_symmetry_Int_Tables_number 1
_cell_length_a 6.159
_cell_length_b 6.159
_cell_length_c 7.982
_cell_angle_alpha 70.98
_cell_angle_beta 70.98
_cell_angle_gamma 74.16
loop_
_symmetry_equiv_pos_as_xyz
'x,y,z'
loop_
_atom_site_label
_atom_site_type_symbol
_atom_site_fract_x
_atom_site_fract_y
_atom_site_fract_z
_atom_site_occupancy
Ca1 Ca 0.517 0.483 0.250 1
Ca2 Ca 0.483 0.517 0.750 1
Pa1 Pa 0.000 0.000 0.000 1
Pa2 Pa 0.000 0.000 0.500 1
F1 F 0.767 0.739 0.125 1
F2 F 0.309 0.681 0.465 1
F3 F 0.739 0.767 0.625 1
F4 F 0.829 0.171 0.250 1
F5 F 0.319 0.691 0.035 1
F6 F 0.681 0.309 0.965 1
F7 F 0.171 0.829 0.750 1
F8 F 0.261 0.233 0.375 1
F9 F 0.691 0.319 0.535 1
F10 F 0.233 0.261 0.875 1
```

Calculated volume: 19.0 A^3/atom
E_form (uncorrected): -3.614 eV/atom


Entry from the Alexandria database: crystalline Sm3ScTl4 at its relaxed geometry (PBE).

```
data_Sm3ScTl4
_chemical_formula_sum 'Sm3 Sc1 Tl4'
_symmetry_space_group_name_H-M 'P 1'
_symmetry_Int_Tables_number 1
_cell_length_a 3.746
_cell_length_b 3.746
_cell_length_c 15.629
_cell_angle_alpha 90.00
_cell_angle_beta 90.00
_cell_angle_gamma 90.00
loop_
_symmetry_equiv_pos_as_xyz
'x,y,z'
loop_
_atom_site_label
_atom_site_type_symbol
_atom_site_fract_x
_atom_site_fract_y
_atom_site_fract_z
_atom_site_occupancy
Sc1 Sc 0.500 0.500 0.000 1
Tl1 Tl 0.000 0.000 0.891 1
Tl2 Tl 0.000 0.000 0.109 1
Tl3 Tl 0.000 0.000 0.369 1
Tl4 Tl 0.000 0.000 0.631 1
Sm1 Sm 0.500 0.500 0.239 1
Sm2 Sm 0.500 0.500 0.500 1
Sm3 Sm 0.500 0.500 0.761 1
```

Distance to the lowest polymorph of the same formula: 0.000 eV/atom
Calculated volume: 27.4 A^3/atom


Entry from the Alexandria database: crystalline Sn3TeS at its relaxed geometry (PBE).

```
data_Sn3TeS
_chemical_formula_sum 'Sn3 Te1 S1'
_symmetry_space_group_name_H-M 'P 1'
_symmetry_Int_Tables_number 1
_cell_length_a 5.413
_cell_length_b 5.413
_cell_length_c 5.413
_cell_angle_alpha 90.00
_cell_angle_beta 90.00
_cell_angle_gamma 90.00
loop_
_symmetry_equiv_pos_as_xyz
'x,y,z'
loop_
_atom_site_label
_atom_site_type_symbol
_atom_site_fract_x
_atom_site_fract_y
_atom_site_fract_z
_atom_site_occupancy
S1 S 0.000 0.000 0.000 1
Te1 Te 0.500 0.500 0.500 1
Sn1 Sn 0.000 0.500 0.000 1
Sn2 Sn 0.000 0.000 0.500 1
Sn3 Sn 0.500 0.000 0.000 1
```

Calculated volume: 31.7 A^3/atom
E_form (uncorrected): 0.186 eV/atom


Entry from the Alexandria database: crystalline Sc2ZnI at its relaxed geometry (PBE).

```
data_Sc2ZnI
_chemical_formula_sum 'Sc2 Zn1 I1'
_symmetry_space_group_name_H-M 'P 1'
_symmetry_Int_Tables_number 1
_cell_length_a 10.497
_cell_length_b 10.497
_cell_length_c 10.497
_cell_angle_alpha 19.13
_cell_angle_beta 19.13
_cell_angle_gamma 19.13
loop_
_symmetry_equiv_pos_as_xyz
'x,y,z'
loop_
_atom_site_label
_atom_site_type_symbol
_atom_site_fract_x
_atom_site_fract_y
_atom_site_fract_z
_atom_site_occupancy
I1 I 0.500 0.500 0.500 1
Sc1 Sc 0.909 0.909 0.909 1
Sc2 Sc 0.091 0.091 0.091 1
Zn1 Zn 0.000 0.000 0.000 1
```

Distance to the lowest polymorph of the same formula: 0.372 eV/atom
Calculated volume: 27.1 A^3/atom
E_form (uncorrected): 0.167 eV/atom


Entry from the Alexandria database: crystalline ZnCl3 at its relaxed geometry (PBE).

```
data_ZnCl3
_chemical_formula_sum 'Zn1 Cl3'
_symmetry_space_group_name_H-M 'P 1'
_symmetry_Int_Tables_number 1
_cell_length_a 4.373
_cell_length_b 4.373
_cell_length_c 4.373
_cell_angle_alpha 90.00
_cell_angle_beta 90.00
_cell_angle_gamma 90.00
loop_
_symmetry_equiv_pos_as_xyz
'x,y,z'
loop_
_atom_site_label
_atom_site_type_symbol
_atom_site_fract_x
_atom_site_fract_y
_atom_site_fract_z
_atom_site_occupancy
Zn1 Zn 0.000 0.000 0.000 1
Cl1 Cl 0.000 0.500 0.500 1
Cl2 Cl 0.500 0.000 0.500 1
Cl3 Cl 0.500 0.500 0.000 1
```

Calculated volume: 20.9 A^3/atom
E_form (uncorrected): 0.256 eV/atom


Q: Look up the calculated volume of the sixth one.
A: 20.9 A^3/atom


Q: calculated volume of number 1 (Ho3Zn2Ir)?
A: 21.6 A^3/atom